[1]
Here is a geometry-optimized Tb2EuIr structure from the Alexandria database. Energies are from PBE.

VASP energy, eV/cell: -29.96
Crystal system: tetragonal
Formation energy from the elements, meV per atom: -392
M_tot, μB/cell: 7.7
Volume, Å³/atom: 29.086
Energy above the lowest structure with this stoichiometry, meV per atom: 0

Structure (CIF):
```
data_Tb2EuIr
_chemical_formula_sum 'Tb2 Eu1 Ir1'
_cell_length_a 3.528
_cell_length_b 3.528
_cell_length_c 9.345
_cell_angle_alpha 90.00
_cell_angle_beta 90.00
_cell_angle_gamma 90.00
_symmetry_space_group_name_H-M 'P 4/m m m'
_symmetry_Int_Tables_number 123
_symmetry_space_group_name_Hall '-P 4 2'
loop_
_atom_site_label
_atom_site_type_symbol
_atom_site_fract_x
_atom_site_fract_y
_atom_site_fract_z
Tb1 Tb 0.000 0.000 0.172
Eu1 Eu 0.500 0.500 0.500
Ir1 Ir 0.500 0.500 0.000
```


[2]
Here is a geometry-optimized PmTmSb structure from the Alexandria database. Energies are from PBE.

E_form (uncorrected), eV/f.u.: -1.87
VASP energy, eV/cell: -30.43
Crystal system: tetragonal
M_tot, μB/cell: 1.9
Volume, Å³/atom: 28.641
Energy above the lowest structure with this stoichiometry, meV per atom: 189

Structure (CIF):
```
data_PmTmSb
_chemical_formula_sum 'Pm2 Tm2 Sb2'
_cell_length_a 3.993
_cell_length_b 3.993
_cell_length_c 10.779
_cell_angle_alpha 90.00
_cell_angle_beta 90.00
_cell_angle_gamma 90.00
_symmetry_space_group_name_H-M 'I 4 m m'
_symmetry_Int_Tables_number 107
_symmetry_space_group_name_Hall 'I 4 -2'
loop_
_atom_site_label
_atom_site_type_symbol
_atom_site_fract_x
_atom_site_fract_y
_atom_site_fract_z
Pm1 Pm 0.000 0.000 0.000
Tm1 Tm 0.000 0.000 0.306
Sb1 Sb 0.000 0.000 0.665
```


[3]
Here is a geometry-optimized ZnCd2Br structure from the Alexandria database. Energies are from PBE.

E_form (uncorrected), eV/f.u.: 0.19
VASP energy, eV/cell: -4.58
Crystal system: tetragonal
M_tot, μB/cell: 0.0
Volume, Å³/atom: 26.528
Energy above the lowest structure with this stoichiometry, meV per atom: 194

Structure (CIF):
```
data_ZnCd2Br
_chemical_formula_sum 'Zn1 Cd2 Br1'
_cell_length_a 4.152
_cell_length_b 4.152
_cell_length_c 6.155
_cell_angle_alpha 90.00
_cell_angle_beta 90.00
_cell_angle_gamma 90.00
_symmetry_space_group_name_H-M 'P 4/m m m'
_symmetry_Int_Tables_number 123
_symmetry_space_group_name_Hall '-P 4 2'
loop_
_atom_site_label
_atom_site_type_symbol
_atom_site_fract_x
_atom_site_fract_y
_atom_site_fract_z
Zn1 Zn 0.000 0.000 0.000
Cd1 Cd 0.000 0.500 0.500
Br1 Br 0.500 0.500 0.000
```


[4]
Here is a geometry-optimized SrFeCu2 structure from the Alexandria database. Energies are from PBE.

VASP energy, eV/cell: -31.99
Crystal system: orthorhombic
Formation energy from the elements, meV per atom: 585
M_tot, μB/cell: 5.5
Volume, Å³/atom: 18.344

Structure (CIF):
```
data_SrFeCu2
_chemical_formula_sum 'Sr2 Fe2 Cu4'
_cell_length_a 6.656
_cell_length_b 6.675
_cell_length_c 3.303
_cell_angle_alpha 90.00
_cell_angle_beta 90.00
_cell_angle_gamma 90.00
_symmetry_space_group_name_H-M 'C m m m'
_symmetry_Int_Tables_number 65
_symmetry_space_group_name_Hall '-C 2 2'
loop_
_atom_site_label
_atom_site_type_symbol
_atom_site_fract_x
_atom_site_fract_y
_atom_site_fract_z
Sr1 Sr 0.000 0.000 0.000
Fe1 Fe 0.000 0.500 0.000
Cu1 Cu 0.250 0.250 0.500
```